(1)
A relaxed structure of YTlCoOs2, computed with PBE.

```
data_YTlCoOs2
_chemical_formula_sum 'Y1 Tl1 Co1 Os2'
_cell_length_a 4.994
_cell_length_b 4.994
_cell_length_c 4.642
_cell_angle_alpha 90.00
_cell_angle_beta 90.00
_cell_angle_gamma 90.00
_symmetry_space_group_name_H-M 'P 1'
_symmetry_Int_Tables_number 1
loop_
_symmetry_equiv_pos_as_xyz
'x,y,z'
loop_
_atom_site_label
_atom_site_fract_x
_atom_site_fract_y
_atom_site_fract_z
Y1 0.000 0.000 0.000
Tl1 0.500 0.500 0.500
Co1 0.500 0.500 0.000
Os1 0.000 0.500 0.500
Os2 0.500 0.000 0.500
```

**Space-group type**: P4/mmm (123)
**VASP energy**: -29.4 eV for the cell shown
**Crystal system**: tetragonal

***

(2)
A relaxed structure of PSe2, computed with PBE.

```
data_PSe2
_chemical_formula_sum 'P4 Se8'
_cell_length_a 11.039
_cell_length_b 3.348
_cell_length_c 8.563
_cell_angle_alpha 90.00
_cell_angle_beta 90.00
_cell_angle_gamma 90.00
_symmetry_space_group_name_H-M 'P 1'
_symmetry_Int_Tables_number 1
loop_
_symmetry_equiv_pos_as_xyz
'x,y,z'
loop_
_atom_site_label
_atom_site_fract_x
_atom_site_fract_y
_atom_site_fract_z
P1 0.138 0.250 0.010
P2 0.362 0.750 0.510
P3 0.638 0.250 0.490
P4 0.862 0.750 0.990
Se1 0.007 0.750 0.185
Se2 0.225 0.250 0.430
Se3 0.275 0.750 0.930
Se4 0.493 0.250 0.685
Se5 0.507 0.750 0.315
Se6 0.725 0.250 0.070
Se7 0.775 0.750 0.570
Se8 0.993 0.250 0.815
```

**Space-group type**: Pnma (62)
**VASP energy**: -48.5 eV for the cell shown
**Crystal system**: orthorhombic

***

(3)
A relaxed structure of Pu2Tl2Pd3, computed with PBE.

```
data_Pu2Tl2Pd3
_chemical_formula_sum 'Pu2 Tl2 Pd3'
_cell_length_a 4.797
_cell_length_b 5.473
_cell_length_c 6.650
_cell_angle_alpha 102.80
_cell_angle_beta 102.40
_cell_angle_gamma 102.26
_symmetry_space_group_name_H-M 'P 1'
_symmetry_Int_Tables_number 1
loop_
_symmetry_equiv_pos_as_xyz
'x,y,z'
loop_
_atom_site_label
_atom_site_fract_x
_atom_site_fract_y
_atom_site_fract_z
Pu1 0.241 0.197 0.269
Pu2 0.759 0.803 0.731
Tl1 0.386 0.225 0.802
Tl2 0.614 0.775 0.198
Pd1 0.000 0.500 0.000
Pd2 0.166 0.722 0.450
Pd3 0.834 0.278 0.550
```

**Space-group type**: P-1 (2)
**VASP energy**: -50.6 eV for the cell shown
**Crystal system**: triclinic

***

(4)
A relaxed structure of NaBiSe2Br, computed with PBE.

```
data_NaBiSe2Br
_chemical_formula_sum 'Na1 Bi1 Se2 Br1'
_cell_length_a 5.513
_cell_length_b 5.513
_cell_length_c 5.865
_cell_angle_alpha 90.00
_cell_angle_beta 90.00
_cell_angle_gamma 90.00
_symmetry_space_group_name_H-M 'P 1'
_symmetry_Int_Tables_number 1
loop_
_symmetry_equiv_pos_as_xyz
'x,y,z'
loop_
_atom_site_label
_atom_site_fract_x
_atom_site_fract_y
_atom_site_fract_z
Na1 0.000 0.000 0.000
Bi1 0.500 0.500 0.500
Se1 0.000 0.500 0.500
Se2 0.500 0.000 0.500
Br1 0.500 0.500 0.000
```

**Space-group type**: P4/mmm (123)
**VASP energy**: -15.5 eV for the cell shown
**Crystal system**: tetragonal

***

(5)
A relaxed structure of LaYMg2Ag4, computed with PBE.

```
data_LaYMg2Ag4
_chemical_formula_sum 'La1 Y1 Mg2 Ag4'
_cell_length_a 8.693
_cell_length_b 8.693
_cell_length_c 8.693
_cell_angle_alpha 33.85
_cell_angle_beta 33.85
_cell_angle_gamma 33.85
_symmetry_space_group_name_H-M 'P 1'
_symmetry_Int_Tables_number 1
loop_
_symmetry_equiv_pos_as_xyz
'x,y,z'
loop_
_atom_site_label
_atom_site_fract_x
_atom_site_fract_y
_atom_site_fract_z
La1 0.000 0.000 0.000
Y1 0.500 0.500 0.500
Mg1 0.248 0.248 0.248
Mg2 0.752 0.752 0.752
Ag1 0.129 0.129 0.129
Ag2 0.378 0.378 0.378
Ag3 0.622 0.622 0.622
Ag4 0.871 0.871 0.871
```

**Space-group type**: R-3m (166)
**VASP energy**: -28.3 eV for the cell shown
**Crystal system**: trigonal

***

(6)
A relaxed structure of Pr5Sm3Dy2, computed with PBE.

```
data_Pr5Sm3Dy2
_chemical_formula_sum 'Pr10 Sm6 Dy4'
_cell_length_a 9.255
_cell_length_b 9.255
_cell_length_c 10.182
_cell_angle_alpha 108.38
_cell_angle_beta 108.38
_cell_angle_gamma 107.83
_symmetry_space_group_name_H-M 'P 1'
_symmetry_Int_Tables_number 1
loop_
_symmetry_equiv_pos_as_xyz
'x,y,z'
loop_
_atom_site_label
_atom_site_fract_x
_atom_site_fract_y
_atom_site_fract_z
Pr1 0.022 0.978 0.750
Pr2 0.130 0.376 0.753
Pr3 0.231 0.769 0.750
Pr4 0.273 0.727 0.250
Pr5 0.376 0.130 0.253
Pr6 0.624 0.870 0.747
Pr7 0.727 0.273 0.750
Pr8 0.769 0.231 0.250
Pr9 0.870 0.624 0.247
Pr10 0.978 0.022 0.250
Sm1 0.028 0.279 0.057
Sm2 0.279 0.028 0.557
Sm3 0.480 0.520 0.250
Sm4 0.520 0.480 0.750
Sm5 0.721 0.972 0.443
Sm6 0.972 0.721 0.943
Dy1 0.223 0.469 0.442
Dy2 0.469 0.223 0.942
Dy3 0.531 0.777 0.058
Dy4 0.777 0.531 0.558
```

**Space-group type**: C2/c (15)
**VASP energy**: -91.1 eV for the cell shown
**Crystal system**: monoclinic